*A*
Material: CaTlTe
Method: DFT, PBE
State: relaxed

The structure in extended XYZ format:
```
3
Lattice="6.8071 0.0798 -0.0875 5.4672 4.0575 -0.0432 1.3399 0.4084 3.9569" Properties=species:S:1:pos:R:3 pbc="T T T"
Te 5.5705 1.8511 2.3754
Tl 8.5131 2.8546 1.2754
Ca 11.8049 3.9772 0.0448
```

SG = I4mm (107)


*B*
Material: CaTlTe
Method: DFT, PBE
State: relaxed

The structure in extended XYZ format:
```
3
Lattice="5.3926 0.0000 0.0000 2.6963 4.6701 0.0000 2.6963 1.5567 4.4030" Properties=species:S:1:pos:R:3 pbc="T T T"
Te 8.0889 4.6701 3.3023
Tl 0.0000 0.0000 0.0000
Ca 5.3926 3.1134 2.2015
```

SG = F-43m (216)


Most stable to least stable, the ends of the list are *A* and *B*.


*A*
Material: Ca2TlTe
Method: DFT, PBE
State: relaxed

The structure in extended XYZ format:
```
4
Lattice="-1.1627 0.0786 -5.5033 -4.9208 -1.9893 -1.8638 -3.8872 3.5386 -2.0033" Properties=species:S:1:pos:R:3 pbc="T T T"
Ca 0.0000 0.0000 0.0000
Ca -2.4927 0.4070 -2.3426
Te -4.9854 0.8139 -4.6852
Tl -7.4780 1.2209 -7.0278
```

SG = F-43m (216)


*B*
Material: Ca2TlTe
Method: DFT, PBE
State: relaxed

The structure in extended XYZ format:
```
4
Lattice="4.2380 0.0052 0.0062 2.1163 3.6718 0.0062 2.0993 1.2148 8.6450" Properties=species:S:1:pos:R:3 pbc="T T T"
Tl 2.1134 1.2230 2.1644
Ca 2.1015 1.2161 8.4256
Ca 4.2247 2.4447 4.5480
Te 6.3402 3.6689 6.4931
```

SG = R-3m (166)


*C*
Material: Ca2TlTe
Method: DFT, PBE
State: relaxed

The structure in extended XYZ format:
```
4
Lattice="4.5299 0.0000 0.0000 0.0000 4.5299 0.0000 0.0000 0.0000 6.5187" Properties=species:S:1:pos:R:3 pbc="T T T"
Ca 0.0000 0.0000 5.7043
Ca 2.2649 2.2649 2.4454
Tl 2.2649 2.2649 5.7037
Te 0.0000 0.0000 2.4433
```

SG = P4/mmm (123)


Most stable to least stable, the ends of the list are *B* and *A*.


*A*
Material: CaTl2Te
Method: DFT, PBE
State: relaxed

The structure in extended XYZ format:
```
4
Lattice="4.2197 0.0000 0.0000 0.0000 4.1746 0.0295 0.0000 4.0928 7.4018" Properties=species:S:1:pos:R:3 pbc="T T T"
Te 2.1099 6.2182 5.1102
Tl 0.0000 4.1575 0.1592
Tl 2.1099 2.0610 1.8373
Ca 0.0000 4.1389 4.0698
```

SG = Pm (6)


*B*
Material: CaTl2Te
Method: DFT, PBE
State: relaxed

The structure in extended XYZ format:
```
4
Lattice="3.7851 -1.5535 3.8636 -0.7981 1.3215 5.4115 -1.2682 -4.0257 3.7219" Properties=species:S:1:pos:R:3 pbc="T T T"
Tl 1.2890 -3.1933 9.7477
Tl 0.4297 -1.0644 3.2492
Ca 0.0000 0.0000 0.0000
Te 0.8593 -2.1289 6.4985
```

SG = Fm-3m (225)


*C*
Material: CaTl2Te
Method: DFT, PBE
State: relaxed

The structure in extended XYZ format:
```
4
Lattice="5.5814 0.0000 0.0000 2.7907 4.8336 0.0000 2.7907 1.6112 4.5572" Properties=species:S:1:pos:R:3 pbc="T T T"
Ca 5.5814 3.2224 2.2786
Tl 0.0000 0.0000 0.0000
Tl 2.7907 1.6112 1.1393
Te 8.3721 4.8336 3.4179
```

SG = F-43m (216)


*D*
Material: CaTl2Te
Method: DFT, PBE
State: relaxed

The structure in extended XYZ format:
```
4
Lattice="8.9041 0.0107 0.0065 7.8836 4.1391 0.0065 7.8836 1.9488 3.6516" Properties=species:S:1:pos:R:3 pbc="T T T"
Ca 6.1678 1.5246 0.9161
Te 18.5035 4.5739 2.7484
Tl 12.1880 3.0128 1.8103
Tl 0.1477 0.0365 0.0219
```

SG = R-3m (166)


Most stable to least stable, the ends of the list are *A* and *D*.


*A*
Material: CaTl2Te
Method: DFT, PBE
State: relaxed

The structure in extended XYZ format:
```
4
Lattice="7.0363 0.0010 0.0024 -4.1670 5.6697 0.0024 1.3697 2.7070 3.2364" Properties=species:S:1:pos:R:3 pbc="T T T"
Tl 0.0000 0.0000 0.0000
Tl 1.4347 2.8353 0.0024
Te -1.3986 4.1883 1.6194
Ca 4.2030 1.3540 1.6194
```

SG = C2/m (12)


*B*
Material: CaTl2Te
Method: DFT, PBE
State: relaxed

The structure in extended XYZ format:
```
4
Lattice="4.4298 0.0000 0.0000 0.0000 4.4371 0.0000 0.0000 0.0000 6.4423" Properties=species:S:1:pos:R:3 pbc="T T T"
Tl 0.0000 0.0000 6.4071
Tl 0.0000 0.0000 3.2563
Te 2.2149 2.2186 4.8317
Ca 2.2149 2.2186 1.6106
```

SG = P4/mmm (123)


*C*
Material: CaTl2Te
Method: DFT, PBE
State: relaxed

The structure in extended XYZ format:
```
4
Lattice="-1.1496 -4.3154 0.6017 4.4594 -1.2327 -0.3213 0.6054 0.6582 5.8772" Properties=species:S:1:pos:R:3 pbc="T T T"
Tl 0.0000 0.0000 0.0000
Tl 1.6549 -2.7740 0.1402
Te 2.5324 -0.2873 2.7780
Ca -0.2721 -1.8286 3.2395
```

SG = Pmmm (47)


*D*
Material: CaTl2Te
Method: DFT, PBE
State: relaxed

The structure in extended XYZ format:
```
8
Lattice="-4.9755 6.8539 3.2320 -4.1154 -5.6906 5.7322 -2.2965 1.1751 6.6858" Properties=species:S:1:pos:R:3 pbc="T T T"
Tl -9.7207 1.8386 12.9191
Tl -5.0877 1.3781 8.3149
Tl -3.7152 -2.4791 5.6237
Tl -4.2512 3.9391 4.4424
Ca -5.4787 -1.9669 8.4501
Ca -4.5455 0.5816 4.4821
Te -5.9087 4.3053 7.2000
Te 0.0000 0.0000 0.0000
```

SG = I-42d (122)


Most stable to least stable, the ends of the list are *A* and *B*.


*A*
Material: CaTeW2
Method: DFT, PBE
State: relaxed

The structure in extended XYZ format:
```
4
Lattice="-1.9175 -2.6884 0.0303 2.5010 -1.7666 1.5269 -1.6377 1.2582 7.9906" Properties=species:S:1:pos:R:3 pbc="T T T"
W 1.8762 -1.3198 1.6290
W -0.7495 -1.4719 1.9225
Te 0.1053 -2.0178 7.5789
Ca 0.6465 -0.4080 4.7029
```

SG = Pm (6)


*B*
Material: CaTeW2
Method: DFT, PBE
State: relaxed

The structure in extended XYZ format:
```
4
Lattice="5.3968 0.0000 0.0000 0.0000 2.8964 -0.0030 0.0000 0.0075 5.2481" Properties=species:S:1:pos:R:3 pbc="T T T"
Te 2.6984 2.1779 3.9339
W 0.0000 2.4305 0.0225
W 0.0000 1.9178 2.5971
Ca 2.6984 0.7260 1.3113
```

SG = P2/m (10)


*C*
Material: CaTeW2
Method: DFT, PBE
State: relaxed

The structure in extended XYZ format:
```
4
Lattice="-1.4127 -0.6437 5.6458 -5.1584 -2.1647 1.7294 4.3672 -1.1939 -3.7132" Properties=species:S:1:pos:R:3 pbc="T T T"
W 0.0000 0.0000 0.0000
W -3.2855 -1.4042 3.6876
Ca -2.0383 -2.3814 0.8519
Te -0.1655 -1.6209 2.8101
```

SG = I4/mmm (139)


Most stable to least stable, the ends of the list are *A* and *C*.


*A*
Material: CaTeW2
Method: DFT, PBE
State: relaxed

The structure in extended XYZ format:
```
4
Lattice="-5.6728 -3.5357 7.0077 -4.3477 -6.2273 6.0090 -2.8527 -4.4212 8.1305" Properties=species:S:1:pos:R:3 pbc="T T T"
Ca -3.2183 -3.5460 5.2868
W -0.1273 -0.1403 0.2091
W -6.3092 -6.9518 10.3645
Te -9.6548 -10.6381 15.8604
```

SG = R-3m (166)


*B*
Material: CaTeW2
Method: DFT, PBE
State: relaxed

The structure in extended XYZ format:
```
4
Lattice="-4.6150 0.1863 -1.3152 1.0836 -2.3315 -4.0548 1.2022 -1.8992 4.2440" Properties=species:S:1:pos:R:3 pbc="T T T"
Te -2.5894 -1.3925 0.1219
Ca -0.5636 -2.9717 1.5590
W 0.2602 -2.6519 -1.2479
W 0.0000 0.0000 0.0000
```

SG = I-4m2 (119)


*C*
Material: CaTeW2
Method: DFT, PBE
State: relaxed

The structure in extended XYZ format:
```
4
Lattice="4.6216 -0.0011 0.0014 3.3763 3.1559 0.0014 1.0986 0.4334 6.4415" Properties=species:S:1:pos:R:3 pbc="T T T"
W 7.9679 3.1430 0.2272
W 2.3217 0.9158 1.0494
Ca 4.5719 1.8034 3.1440
Te 6.7813 2.6749 5.2485
```

SG = Cm (8)


*D*
Material: CaTeW2
Method: DFT, PBE
State: relaxed

The structure in extended XYZ format:
```
4
Lattice="3.6539 -2.7199 1.4677 0.9812 -0.3726 4.6692 -0.8492 -4.1082 2.3032" Properties=species:S:1:pos:R:3 pbc="T T T"
W 0.9465 -1.8002 2.1100
W 2.8395 -5.4005 6.3301
Te 1.8930 -3.6003 4.2200
Ca 0.0000 0.0000 0.0000
```

SG = Fm-3m (225)


Most stable to least stable, the ends of the list are *C* and *D*.


*A*
Material: CaTeW2
Method: DFT, PBE
State: relaxed

The structure in extended XYZ format:
```
4
Lattice="-1.6400 2.8692 0.5132 -2.2310 -0.8568 -2.3396 -4.4694 -3.5496 5.5618" Properties=species:S:1:pos:R:3 pbc="T T T"
W -2.7936 0.3247 0.1546
W -0.1547 -0.1228 0.1925
Ca -2.1067 -1.6732 2.6216
Te -5.5201 -1.8407 3.5476
```

SG = P4mm (99)


*B*
Material: CaTeW2
Method: DFT, PBE
State: relaxed

The structure in extended XYZ format:
```
4
Lattice="-2.6619 -1.1819 0.0364 1.8579 -4.2513 -2.1675 1.0288 -2.1593 5.1170" Properties=species:S:1:pos:R:3 pbc="T T T"
W 0.0253 -0.0531 0.1258
W 0.4891 -1.0266 2.4327
Ca -0.1448 -3.2564 0.2137
Te 0.3696 -4.3361 2.7722
```

SG = Pmmm (47)


Most stable to least stable, the ends of the list are *A* and *B*.


*A*
Material: CaTeW2
Method: DFT, PBE
State: relaxed

The structure in extended XYZ format:
```
4
Lattice="-0.0976 3.5054 0.2588 -3.9799 -0.2556 1.9613 2.2958 -0.2773 4.6225" Properties=species:S:1:pos:R:3 pbc="T T T"
Ca 1.0991 1.6140 2.4406
W 0.0000 0.0000 0.0000
W -2.0387 1.6249 1.1100
Te -0.8420 -0.2665 3.2919
```

SG = Pmmm (47)


*B*
Material: CaTeW2
Method: DFT, PBE
State: relaxed

The structure in extended XYZ format:
```
8
Lattice="4.1639 0.0000 0.0000 0.0000 4.1639 0.0000 2.0820 2.0820 10.4382" Properties=species:S:1:pos:R:3 pbc="T T T"
W 3.4126 1.0410 2.6096
W 3.1229 2.8333 7.8287
W 5.2049 5.4945 7.8287
W 0.7513 3.1229 2.6096
Ca 2.0820 4.1639 5.2191
Ca 2.0820 2.0820 0.0000
Te 0.0000 0.0000 0.0000
Te 4.1639 2.0820 5.2191
```

SG = I-42d (122)


Most stable to least stable, the ends of the list are *A* and *B*.


*A*
Material: CaTeW2
Method: DFT, PBE
State: relaxed

The structure in extended XYZ format:
```
4
Lattice="4.7704 -0.0003 -0.0011 -2.3939 5.8012 0.0302 -0.0174 0.8238 3.0095" Properties=species:S:1:pos:R:3 pbc="T T T"
Ca -1.2056 3.3125 1.5199
Te 1.1882 2.9005 0.0145
W 2.3765 0.4117 1.5042
W 0.0000 0.0000 0.0000
```

SG = C2/m (12)


*B*
Material: CaTeW2
Method: DFT, PBE
State: relaxed

The structure in extended XYZ format:
```
4
Lattice="3.6121 0.0000 0.0000 0.0000 3.6121 0.0000 0.0000 0.0000 6.5507" Properties=species:S:1:pos:R:3 pbc="T T T"
Te 1.8061 1.8061 4.9130
W 0.0000 0.0000 6.1723
W 0.0000 0.0000 3.6538
Ca 1.8061 1.8061 1.6377
```

SG = P4/mmm (123)


*C*
Material: CaTeW2
Method: DFT, PBE
State: relaxed

The structure in extended XYZ format:
```
4
Lattice="3.0106 0.0210 0.0000 -0.9206 2.8665 0.0000 0.0000 0.0000 9.5355" Properties=species:S:1:pos:R:3 pbc="T T T"
W 0.0000 0.0000 9.3346
W 0.0000 0.0000 4.9686
Ca 1.0450 1.4437 2.3839
Te 1.0450 1.4437 7.1516
```

SG = Cmmm (65)


Most stable to least stable, the ends of the list are *A* and *C*.


*A*
Material: CaTeW2
Method: DFT, PBE
State: relaxed

The structure in extended XYZ format:
```
4
Lattice="-4.8512 2.6009 -1.1758 0.7333 -5.3854 -1.4635 -1.0975 -0.8619 2.6216" Properties=species:S:1:pos:R:3 pbc="T T T"
Ca -2.9743 0.8695 0.7229
W -2.0590 -1.3922 -1.3196
W 0.0000 0.0000 0.0000
Te -0.1821 -3.1236 0.5791
```

SG = Cmmm (65)


*B*
Material: CaTeW2
Method: DFT, PBE
State: relaxed

The structure in extended XYZ format:
```
4
Lattice="-1.2501 -2.3336 4.7459 -3.7606 -2.9834 2.5474 1.8093 -4.7064 -0.6749" Properties=species:S:1:pos:R:3 pbc="T T T"
W -1.4023 -5.2966 3.1669
W 1.6109 -4.4215 -0.5326
Te -2.4011 -7.5175 4.9638
Ca -0.8004 -2.5058 1.6546
```

SG = C2/m (12)


Most stable to least stable, the ends of the list are *B* and *A*.